Entry 1:
Material: SiPd2F
Method: DFT, GGA-PBEsol
State: optimized geometry

Cell: 4.136 4.136 4.136 Å, 60.00 60.00 60.00°
Sites, in units of the cell vectors:
Pd: 0.250 0.250 0.250
Si: 0.500 0.500 0.500
Pd: 0.750 0.750 0.750
F: 0.000 0.000 0.000

Results
Calculated volume ... 12.511 A^3/atom
Density of states at the Fermi level ... 0.32 states/eV/atom
Space-group type ... Fm-3m (225)
Calculated total energy ... -5.655 eV/atom
ΔE_f (raw) ... -0.7574 eV/atom

Entry 2:
Material: SiTePdF2
Method: DFT, GGA-PBEsol
State: optimized geometry

Cell: 4.114 4.114 5.384 Å, 90.00 90.00 90.00°
Sites, in units of the cell vectors:
Te: 0.000 0.000 0.500
Si: 0.500 0.500 0.500
F: 0.000 0.500 0.000
F: 0.500 0.000 0.000
Pd: 0.000 0.000 0.000

Results
Calculated volume ... 18.228 A^3/atom
Density of states at the Fermi level ... 0.46 states/eV/atom
Space-group type ... P4/mmm (123)
Calculated total energy ... -4.339 eV/atom
ΔE_f (raw) ... -0.5216 eV/atom

Entry 3:
Material: TlSi2PdF
Method: DFT, GGA-PBEsol
State: optimized geometry

Cell: 4.461 4.461 5.980 Å, 90.00 90.00 90.00°
Sites, in units of the cell vectors:
Tl: 0.000 0.000 0.500
F: 0.500 0.500 0.500
Si: 0.500 0.000 0.000
Pd: 0.000 0.000 0.000
Si: 0.000 0.500 0.000

Results
Calculated volume ... 23.798 A^3/atom
Density of states at the Fermi level ... 0.43 states/eV/atom
Space-group type ... P4/mmm (123)
Calculated total energy ... -4.444 eV/atom
ΔE_f (raw) ... -0.0417 eV/atom

Entry 4:
Material: SnPdF2
Method: DFT, GGA-PBEsol
State: optimized geometry

Cell: 4.278 4.278 4.278 Å, 60.00 60.00 60.00°
Sites, in units of the cell vectors:
Sn: 0.500 0.500 0.500
F: 0.750 0.750 0.750
F: 0.250 0.250 0.250
Pd: 0.000 0.000 0.000

Results
Calculated volume ... 13.841 A^3/atom
Space-group type ... Fm-3m (225)
Calculated total energy ... -4.574 eV/atom
ΔE_f (raw) ... -1.0561 eV/atom

Entry 5:
Material: SrPdF4
Method: DFT, GGA-PBEsol
State: optimized geometry

Cell: 5.822 6.695 5.822 Å, 115.77 90.00 115.77°
Sites, in units of the cell vectors:
Sr: 0.250 0.500 0.250
Pd: 0.500 0.000 0.000
F: 0.963 0.265 0.463
F: 0.698 0.735 0.198
Pd: 0.000 0.000 0.500
F: 0.037 0.735 0.537
Sr: 0.750 0.500 0.750
F: 0.802 0.265 0.963
F: 0.302 0.265 0.802
F: 0.463 0.265 0.302
F: 0.537 0.735 0.698
F: 0.198 0.735 0.037

Results
Calculated volume ... 14.914 A^3/atom
Space-group type ... I4/mcm (140)
Calculated total energy ... -5.157 eV/atom
ΔE_f (raw) ... -2.5726 eV/atom

Entry 6:
Material: SrPdF2
Method: DFT, GGA-PBEsol
State: optimized geometry

Cell: 4.338 4.338 4.338 Å, 60.00 60.00 60.00°
Sites, in units of the cell vectors:
F: 0.250 0.250 0.250
Sr: 0.000 0.000 0.000
Pd: 0.500 0.500 0.500
F: 0.750 0.750 0.750

Results
Calculated volume ... 14.433 A^3/atom
Density of states at the Fermi level ... 1.19 states/eV/atom
Space-group type ... Fm-3m (225)
Calculated total energy ... -4.920 eV/atom
ΔE_f (raw) ... -2.0067 eV/atom

Entry 7:
Material: TcPd3F
Method: DFT, GGA-PBEsol
State: optimized geometry

Cell: 4.662 4.662 4.662 Å, 90.00 90.00 90.00°
Sites, in units of the cell vectors:
Tc: 0.000 0.000 0.000
F: 0.500 0.500 0.500
Pd: 0.500 0.000 0.000
Pd: 0.000 0.000 0.500
Pd: 0.000 0.500 0.000

Results
Calculated volume ... 20.261 A^3/atom
Density of states at the Fermi level ... 0.81 states/eV/atom
Space-group type ... Pm-3m (221)
Calculated total energy ... -5.076 eV/atom
ΔE_f (raw) ... 1.1384 eV/atom

Entry 8:
Material: YTlPdF2
Method: DFT, GGA-PBEsol
State: optimized geometry

Cell: 4.208 4.208 5.744 Å, 90.00 90.00 90.00°
Sites, in units of the cell vectors:
Tl: 0.500 0.500 0.500
F: 0.500 0.000 0.000
Pd: 0.000 0.000 0.500
Y: 0.000 0.000 0.000
F: 0.000 0.500 0.000

Results
Calculated volume ... 20.346 A^3/atom
Density of states at the Fermi level ... 0.17 states/eV/atom
Space-group type ... P4/mmm (123)
Calculated total energy ... -5.951 eV/atom
ΔE_f (raw) ... -2.0974 eV/atom

Entry 9:
Material: PdWF2
Method: DFT, GGA-PBEsol
State: optimized geometry

Cell: 2.707 2.707 9.239 Å, 81.58 81.58 60.00°
Sites, in units of the cell vectors:
F: 0.889 0.889 0.333
F: 0.111 0.111 0.667
Pd: 0.000 0.000 0.000
W: 0.500 0.500 0.500

Results
Calculated volume ... 14.443 A^3/atom
Density of states at the Fermi level ... 0.77 states/eV/atom
Space-group type ... R-3m (166)
Calculated total energy ... -6.524 eV/atom
ΔE_f (raw) ... -0.6188 eV/atom

Entry 10:
Material: ZrPdF3
Method: DFT, GGA-PBEsol
State: optimized geometry

Cell: 4.171 4.171 4.171 Å, 90.00 90.00 90.00°
Each line ends with the local moment (μB).
Sites, in units of the cell vectors:
F: 0.500 0.000 0.000  0.00
F: 0.000 0.500 0.000  0.00
Zr: 0.000 0.000 0.000  0.05
Pd: 0.500 0.500 0.500  0.00
F: 0.000 0.000 0.500  0.00

Results
Calculated volume ... 14.510 A^3/atom
Density of states at the Fermi level ... 0.50 states/eV/atom
Space-group type ... Pm-3m (221)
Calculated total energy ... -6.221 eV/atom
ΔE_f (raw) ... -2.0549 eV/atom

Entry 11:
Material: Rb3PrF6
Method: DFT, GGA-PBEsol
State: optimized geometry

Cell: 6.915 6.915 6.915 Å, 60.00 60.00 60.00°
Sites, in units of the cell vectors:
F: 0.768 0.768 0.232
Pr: 0.000 0.000 0.000
F: 0.232 0.768 0.768
Rb: 0.500 0.500 0.500
F: 0.768 0.232 0.768
F: 0.232 0.232 0.768
Rb: 0.750 0.750 0.750
F: 0.768 0.232 0.232
F: 0.232 0.768 0.232
Rb: 0.250 0.250 0.250

Results
Calculated volume ... 23.376 A^3/atom
Density of states at the Fermi level ... 0.00 states/eV/atom
Space-group type ... Fm-3m (225)
Calculated total energy ... -5.156 eV/atom
ΔE_f (raw) ... -3.1738 eV/atom

Entry 12:
Material: Rb3PrF6
Method: DFT, GGA-PBEsol
State: optimized geometry

Cell: 7.053 7.053 7.053 Å, 93.78 117.84 117.84°
Sites, in units of the cell vectors:
Rb: 0.000 0.500 0.500
F: 0.312 0.000 0.312
Rb: 0.500 0.750 0.250
F: 0.688 0.688 0.000
F: 0.688 0.000 0.688
F: 0.000 0.762 0.762
Pr: 0.000 0.000 0.000
F: 0.312 0.312 0.000
Rb: 0.500 0.250 0.750
F: 0.000 0.238 0.238

Results
Calculated volume ... 25.561 A^3/atom
Density of states at the Fermi level ... 0.00 states/eV/atom
Space-group type ... I4/mmm (139)
Calculated total energy ... -5.130 eV/atom
ΔE_f (raw) ... -3.1472 eV/atom